La2MgZn6 after structural relaxation. Source: Alexandria, functional GGA-PBE.

Values from the calculation:
DFT formation energy = -2.52 eV per formula unit
E = -2.401 eV per atom
Fermi-level density of states = 4.06 states/eV per cell

Lattice parameters (Å, degrees): 5.9946 5.9946 6.0537 90.00 90.00 120.00
Closest atoms and distances in Å follow each position.
Space group P-3m1 (No. 164)
Inequivalent atoms, fractional coordinates:
1 La 0.3333 0.6667 0.1524 (multiplicity 2)  12 Zn 3.23-3.43, 3 Mg 3.58
2 Mg 0.0000 0.0000 0.0000 (multiplicity 1)  6 Zn 2.82
3 Zn 0.1799 0.3598 0.6513 (multiplicity 6)  4 Zn 2.62-2.76, 1 Mg 2.82

La4MgZn after structural relaxation. Source: Alexandria, functional GGA-PBE.

Values from the calculation:
DFT formation energy = -0.36 eV per formula unit
ΔE to the lowest computed polymorph = 67 meV per atom
E = -3.823 eV per atom
Fermi-level density of states = 5.99 states/eV per cell

Lattice parameters (Å, degrees): 3.7509 5.2191 9.2521 90.00 91.37 90.00
Closest atoms and distances in Å follow each position.
Space group Pm (No. 6)
Inequivalent atoms, fractional coordinates:
1 La 0.0000 0.0000 0.0000 (multiplicity 1)  1 Zn 3.17, 2 La 3.32, 2 Mg 3.40
2 La 0.0542 0.5000 0.4670 (multiplicity 1)  2 Zn 3.17, 3 La 3.18-3.32, 1 Mg 3.37
3 La 0.6397 0.5000 0.1627 (multiplicity 1)  2 Zn 3.17, 3 La 3.18-3.32, 1 Mg 3.38
4 La 0.6945 0.0000 0.6306 (multiplicity 1)  1 Zn 3.17, 2 La 3.32, 2 Mg 3.39
5 Mg 0.3463 0.5000 0.8147 (multiplicity 1)  6 La 3.37-3.40, 2 Mg 3.75
6 Zn 0.3482 0.0000 0.3153 (multiplicity 1)  6 La 3.17

La3Mg2Zn after structural relaxation. Source: Alexandria, functional GGA-PBE.

Values from the calculation:
DFT formation energy = -1.05 eV per formula unit
ΔE to the lowest computed polymorph = 5 meV per atom
E = -3.382 eV per atom
Fermi-level density of states = 14.37 states/eV per cell

Lattice parameters (Å, degrees): 5.5025 16.5503 3.8854 90.00 90.00 90.00
Closest atoms and distances in Å follow each position.
Space group Cmmm (No. 65)
Inequivalent atoms, fractional coordinates:
1 La 0.0000 0.0000 0.0000 (multiplicity 2)  4 Zn 3.37, 4 Mg 3.49
2 La 0.0000 0.3435 0.0000 (multiplicity 4)  2 Zn 3.24, 6 Mg 3.38-3.40
3 Mg 0.0000 0.1751 0.5000 (multiplicity 4)  8 La 3.38-3.49, 2 Mg 3.70
4 Zn 0.0000 0.5000 0.5000 (multiplicity 2)  8 La 3.24-3.37

La6Mg3Zn after structural relaxation. Source: Alexandria, functional GGA-PBE.

Values from the calculation:
DFT formation energy = -0.97 eV per formula unit
E = -3.660 eV per atom
Fermi-level density of states = 24.36 states/eV per cell

Lattice parameters (Å, degrees): 9.6011 5.5788 12.3446 90.00 109.46 90.00
Closest atoms and distances in Å follow each position.
Space group P2_1/m (No. 11)
Inequivalent atoms, fractional coordinates:
1 La 0.0410 0.2500 0.4151 (multiplicity 2)  7 Mg 3.31-3.59, 1 La 3.41
2 La 0.1711 0.7500 0.1738 (multiplicity 2)  1 Zn 3.29, 5 Mg 3.36-3.59, 2 La 3.60
3 La 0.2587 0.2500 0.0022 (multiplicity 2)  3 Zn 3.24-3.34, 4 Mg 3.32-3.61
4 La 0.3541 0.7500 0.8088 (multiplicity 2)  3 Zn 3.20-3.35, 3 Mg 3.43-3.58
5 La 0.3570 0.2500 0.3469 (multiplicity 2)  6 La 3.41-3.60, 3 Mg 3.49-3.53
6 La 0.4225 0.2500 0.6399 (multiplicity 2)  1 Zn 3.22, 3 Mg 3.45-3.46, 3 La 3.46-3.47
7 Mg 0.0356 0.7500 0.8762 (multiplicity 2)  8 La 3.36-3.61, 2 Mg 3.60
8 Mg 0.1084 0.2500 0.7180 (multiplicity 2)  8 La 3.31-3.58, 3 Mg 3.60-3.62
9 Mg 0.2665 0.7500 0.4804 (multiplicity 2)  11 La 3.45-3.86, 1 Mg 3.62
10 Zn 0.4569 0.7500 0.0838 (multiplicity 2)  8 La 3.20-3.35

LaMg4Zn4 after structural relaxation. Source: Alexandria, functional GGA-PBE.

Values from the calculation:
DFT formation energy = -0.99 eV per formula unit
E = -1.932 eV per atom
Fermi-level density of states = 10.76 states/eV per cell

Lattice parameters (Å, degrees): 6.4915 6.4915 9.2112 90.00 90.00 90.00
Closest atoms and distances in Å follow each position.
Space group P4_2/nmc (No. 137, origin choice 2)
Inequivalent atoms, fractional coordinates:
1 La 0.2500 0.7500 0.2500 (multiplicity 2)  12 Zn 3.49-3.89, 8 Mg 3.73
2 Mg 0.0110 0.2500 0.1426 (multiplicity 8)  5 Zn 2.71-2.75
3 Zn 0.0549 0.2500 0.4386 (multiplicity 8)  1 Zn 2.53, 5 Mg 2.71-2.75

LaMgZrZn after structural relaxation. Source: Alexandria, functional GGA-PBE.

Values from the calculation:
DFT formation energy = -0.05 eV per formula unit
E = -4.100 eV per atom
Fermi-level density of states = 20.16 states/eV per cell

Lattice parameters (Å, degrees): 7.2647 7.2647 7.2647 90.00 90.00 90.00
Closest atoms and distances in Å follow each position.
Space group F-43m (No. 216)
Inequivalent atoms, fractional coordinates:
1 La 0.0000 0.0000 0.0000 (multiplicity 4)  4 Mg 3.15, 4 Zn 3.15
2 Mg 0.2500 0.2500 0.7500 (multiplicity 4)  4 Zr 3.15, 4 La 3.15
3 Zr 0.0000 0.0000 0.5000 (multiplicity 4)  4 Mg 3.15, 4 Zn 3.15
4 Zn 0.2500 0.2500 0.2500 (multiplicity 4)  4 Zr 3.15, 4 La 3.15

LaMg2Zr after structural relaxation. Source: Alexandria, functional GGA-PBE.

Values from the calculation:
DFT formation energy = 0.39 eV per formula unit
ΔE to the lowest computed polymorph = 64 meV per atom
E = -4.069 eV per atom
Fermi-level density of states = 7.39 states/eV per cell

Lattice parameters (Å, degrees): 11.6803 3.2535 5.5512 90.00 101.00 90.00
Closest atoms and distances in Å follow each position.
Space group C2/m (No. 12)
Inequivalent atoms, fractional coordinates:
1 La 0.0000 0.0000 0.0000 (multiplicity 2)  4 Zr 3.22, 2 La 3.25, 6 Mg 3.41-3.53
2 Mg 0.2386 0.0000 0.7283 (multiplicity 4)  6 Mg 3.07-3.39, 2 Zr 3.27, 1 La 3.41
3 Zr 0.0000 0.5000 0.5000 (multiplicity 2)  4 La 3.22, 2 Zr 3.25, 6 Mg 3.27-3.52

LaMgZr2 after structural relaxation. Source: Alexandria, functional GGA-PBE.

Values from the calculation:
DFT formation energy = 0.60 eV per formula unit
E = -5.754 eV per atom
Fermi-level density of states = 3.48 states/eV per cell

Lattice parameters (Å, degrees): 3.2702 3.2702 9.4612 90.00 90.00 90.00
Closest atoms and distances in Å follow each position.
Space group P4/mmm (No. 123)
Inequivalent atoms, fractional coordinates:
1 La 0.0000 0.0000 0.0000 (multiplicity 1)  4 La 3.27, 8 Zr 3.47
2 Mg 0.0000 0.0000 0.5000 (multiplicity 1)  8 Zr 3.15, 4 Mg 3.27
3 Zr 0.5000 0.5000 0.2733 (multiplicity 2)  4 Mg 3.15, 4 Zr 3.27, 4 La 3.47

Total moment: 0.000; 0.000; 0.002; 0.000; 0.000; 0.001; 0.000; 0.000 (μB per cell)